Record 1
4
Lattice="-1.0476 1.9507 -4.2371 -2.4016 -2.5308 -3.2684 -4.5218 1.1382 -1.0551" Properties=species:S:1:pos:R:3 comment="PBE-GGA BaMo3, optimized geometry" de_polymorph_mev_per_atom=497 magnetic_moment_mub_per_cell=0.000 e_form_ev_per_atom=1.26 pbc="T T T"
Ba 0.0000 0.0000 0.0000
Mo -1.9927 0.1395 -2.1401
Mo -3.9855 0.2790 -4.2803
Mo -5.9782 0.4186 -6.4204


Record 2
6
Lattice="-2.4655 2.4655 6.9395 2.4655 -2.4655 6.9395 2.4655 2.4655 -6.9395" Properties=species:S:1:pos:R:3 comment="PBE-GGA BaMo2, optimized geometry" de_polymorph_mev_per_atom=590 magnetic_moment_mub_per_cell=0.000 e_form_ev_per_atom=1.19 pbc="T T T"
Ba 0.0000 0.0000 0.0000
Ba 0.0000 2.4655 3.4697
Mo 0.0000 0.0000 8.0497
Mo 2.4655 0.0000 2.3595
Mo 0.0000 0.0000 5.8293
Mo 2.4655 0.0000 4.5799


Record 3
16
Lattice="12.6899 0.0000 0.0000 0.0000 12.6899 0.0000 0.0000 0.0000 4.2981" Properties=species:S:1:pos:R:3 comment="PBE-GGA BaMo, optimized geometry" de_polymorph_mev_per_atom=483 magnetic_moment_mub_per_cell=0.040 e_form_ev_per_atom=1.04 pbc="T T T"
Ba 9.5453 6.3449 0.0000
Ba 3.1445 6.3449 0.0000
Ba 6.3449 3.1445 0.0000
Ba 6.3449 9.5453 0.0000
Ba 3.2004 0.0000 2.1491
Ba 9.4895 0.0000 2.1491
Ba 0.0000 9.4895 2.1491
Ba 0.0000 3.2004 2.1491
Mo 2.8573 2.8573 0.0000
Mo 2.8573 9.8325 0.0000
Mo 9.8325 2.8573 0.0000
Mo 9.8325 9.8325 0.0000
Mo 9.2022 9.2022 2.1491
Mo 9.2022 3.4876 2.1491
Mo 3.4876 9.2022 2.1491
Mo 3.4876 3.4876 2.1491


Record 4
4
Lattice="-2.7210 -0.5990 -2.8527 -0.9464 -0.6303 3.8220 -2.9748 9.5337 0.8357" Properties=species:S:1:pos:R:3 comment="PBE-GGA BaMo, optimized geometry" de_polymorph_mev_per_atom=323 magnetic_moment_mub_per_cell=0.000 e_form_ev_per_atom=0.88 pbc="T T T"
Ba -2.7569 8.8352 0.7745
Ba -3.0911 2.4724 -0.3577
Mo -1.7026 5.4565 0.4783
Mo -4.1454 5.8512 -0.0615


Record 5
6
Lattice="1.6191 -11.9492 0.0000 1.6191 11.9492 0.0000 0.0000 0.0000 4.2319" Properties=species:S:1:pos:R:3 comment="PBE-GGA BaMo2, optimized geometry" de_polymorph_mev_per_atom=0 magnetic_moment_mub_per_cell=0.002 e_form_ev_per_atom=0.60 pbc="T T T"
Ba 1.6191 -7.8656 3.1739
Ba 1.6191 7.8656 1.0580
Mo 1.6191 10.8319 3.1739
Mo 1.6191 1.1281 3.1739
Mo 1.6191 -1.1281 1.0580
Mo 1.6191 -10.8319 1.0580


Record 6
3
Lattice="-3.6406 -0.4205 1.9985 3.4015 -1.9549 1.4257 1.2450 4.5129 3.2175" Properties=species:S:1:pos:R:3 comment="PBE-GGA BaMo2, optimized geometry" de_polymorph_mev_per_atom=306 magnetic_moment_mub_per_cell=0.000 e_form_ev_per_atom=0.91 pbc="T T T"
Ba 0.0000 0.0000 0.0000
Mo -0.6706 1.3248 3.4165
Mo 1.6766 0.8127 3.2252